Entry 1:
{"formula": "Sc2HgSe", "functional": "GGA-PBE", "state": "optimized geometry", "lattice": [[6.7230, 5.5356, -0.7565], [8.4884, 2.0835, 0.1445], [7.4294, 2.8560, -3.6141]], "species": ["Se", "Sc", "Sc", "Hg"], "fractional_positions": [[0.0000, 0.0000, 0.0000], [0.0970, 0.0970, 0.0970], [0.9030, 0.9030, 0.9030], [0.5000, 0.5000, 0.5000]], "formation_energy_uncorrected_mev_per_atom": -378, "e_above_lowest_polymorph_mev_per_atom": 597, "spacegroup": "No. 166"}

***

Entry 2:
{"formula": "Tb3PmHo4Se8", "functional": "GGA-PBE", "state": "optimized geometry", "lattice": [[8.1638, 0.0000, 0.0000], [0.0000, 8.1933, 0.0140], [-4.0819, -4.0788, 5.7772]], "species": ["Tb", "Se", "Tb", "Tb", "Ho", "Se", "Pm", "Ho", "Ho", "Se", "Se", "Ho", "Se", "Se", "Se", "Se"], "fractional_positions": [[0.5000, 0.5000, 0.5000], [0.7483, 0.7573, 0.0028], [0.5000, 0.5000, 0.0000], [0.0000, 0.5000, 0.5000], [0.5000, 0.0000, 0.5000], [0.7456, 0.2427, 0.4911], [0.0000, 0.5000, 0.0000], [0.0000, 0.0000, 0.0000], [0.0000, 0.0000, 0.5000], [0.7455, 0.2427, 0.9972], [0.2486, 0.2458, 0.4971], [0.5000, 0.0000, 0.0000], [0.2517, 0.2427, 0.9972], [0.2545, 0.7573, 0.0028], [0.2544, 0.7573, 0.5089], [0.7514, 0.7542, 0.5029]], "formation_energy_uncorrected_mev_per_atom": -1750, "spacegroup": "No. 166"}

***

Entry 3:
{"formula": "Ga2PtW", "functional": "GGA-PBE", "state": "optimized geometry", "lattice": [[-3.2972, -2.0060, 2.1530], [-3.7878, -0.8912, -2.0952], [-1.0557, -4.1793, -0.9749]], "species": ["Pt", "Ga", "Ga", "W"], "fractional_positions": [[0.5000, 0.5000, 0.5000], [0.7500, 0.7500, 0.7500], [0.2500, 0.2500, 0.2500], [0.0000, 0.0000, 0.0000]], "e_above_lowest_polymorph_mev_per_atom": 0, "spacegroup": "No. 225", "formation_enthalpy_0k_ev_per_fu": 0.186}

***

Entry 4:
{"formula": "PmDyIrOs", "functional": "GGA-PBE", "state": "optimized geometry", "lattice": [[-2.5576, 0.4370, 4.1530], [-2.8023, -3.7042, 1.5510], [1.3057, -2.5660, 3.9612]], "species": ["Pm", "Ir", "Os", "Dy"], "fractional_positions": [[0.2500, 0.2500, 0.2500], [0.5000, 0.5000, 0.5000], [0.0000, 0.0000, 0.0000], [0.7500, 0.7500, 0.7500]], "spacegroup": "No. 216", "formation_enthalpy_0k_ev_per_fu": -1.238}

***

Entry 5:
{"formula": "SrY2H", "functional": "GGA-PBE", "state": "optimized geometry", "lattice": [[0.3503, -4.3080, 3.4858], [-4.4193, -1.5057, 3.0058], [-2.6638, -4.7323, -1.1583]], "species": ["Y", "H", "Y", "Sr"], "fractional_positions": [[0.7500, 0.7500, 0.7500], [0.0000, 0.0000, 0.0000], [0.2500, 0.2500, 0.2500], [0.5000, 0.5000, 0.5000]], "e_above_lowest_polymorph_mev_per_atom": 998, "spacegroup": "No. 225"}

***

Entry 6:
{"formula": "PtRhSe2N", "functional": "GGA-PBE", "state": "optimized geometry", "lattice": [[-3.0974, -2.9676, -2.6618], [1.4335, -3.9744, 2.7630], [-2.6356, 0.6656, 2.3248]], "species": ["Rh", "Se", "Pt", "Se", "N"], "fractional_positions": [[0.0000, 0.0000, 0.0000], [0.5000, 0.0000, 0.0000], [0.5000, 0.5000, 0.5000], [0.0000, 0.5000, 0.0000], [0.0000, 0.0000, 0.5000]], "formation_energy_uncorrected_mev_per_atom": 695, "e_above_lowest_polymorph_mev_per_atom": 0, "spacegroup": "No. 123"}

***

Which E belongs to each record? In order, -4.49, -5.80, -6.22, -7.67, -3.59, -5.04 eV/atom.